No. 1
Material: CeTmInRu
Method: DFT, GGA-PBE
State: relaxed

- total moment (μB/f.u.) = 0.44
- offset from the most stable computed form (meV/atom) = 201.0
- crystal system = cubic
- VASP energy (eV per atom) = -5.86

abc: 7.195 7.195 7.195
angles: 90.00 90.00 90.00
Space group F-43m (No. 216)
Unique sites:
Ce 0.000 0.000 0.000 [4 per cell]
Tm 0.000 0.000 0.500 [4 per cell]
In 0.250 0.250 0.250 [4 per cell]
Ru 0.250 0.250 0.750 [4 per cell]

No. 2
Material: YCoMoAu2
Method: DFT, GGA-PBE
State: relaxed

- total moment (μB/f.u.) = 0.00
- crystal system = tetragonal
- VASP energy (eV per atom) = -5.91

abc: 4.860 4.860 4.314
angles: 90.00 90.00 90.00
Space group P4/mmm (No. 123)
Unique sites:
Y 0.000 0.000 0.000 [1 per cell]
Co 0.500 0.500 0.500 [1 per cell]
Mo 0.500 0.500 0.000 [1 per cell]
Au 0.000 0.500 0.500 [2 per cell]